PmCr2PdO8 | PBE with a Hubbard U | relaxed

POSCAR file:
```
PmCr2PdO8
1.0
5.085 0.000 0.000
0.000 5.085 0.000
-2.543 -2.543 5.834
O Cr Pm Pd
8 2 1 1
Direct
0.086 0.965 0.658
0.441 0.332 0.154
0.307 0.914 0.342
0.035 0.428 0.342
0.572 0.693 0.658
0.178 0.559 0.846
0.713 0.822 0.154
0.668 0.287 0.846
0.250 0.750 0.500
0.500 0.500 0.000
0.000 0.000 0.000
0.750 0.250 0.500
```

- Theoretical density: 5.3 g/cm³
- Magnetization: 1.0 μB/f.u.
- VASP energy: -6.826 eV per atom